Entry 1:
TlTe2Ru (PBE-GGA, relaxed); offset from the most stable computed form = 0.50 eV/f.u.; space-group type = No. 38; raw formation energy = 0.091 eV per formula unit
1.0
4.015 0.000 0.000
0.000 4.844 0.011
0.000 2.410 6.042
Tl Ru Te
1 1 2
direct
0.000 0.593 0.439 Tl
0.500 0.785 0.055 Ru
0.500 0.207 0.212 Te
0.000 0.915 0.794 Te

=====

Entry 2:
TlTe2Ru (PBE-GGA, relaxed); offset from the most stable computed form = 2.76 eV/f.u.; space-group type = No. 123; raw formation energy = 2.350 eV per formula unit
1.0
5.286 0.000 0.000
0.000 5.286 0.000
0.000 0.000 3.394
Tl Te Ru
1 2 1
direct
0.500 0.000 0.500 Tl
0.500 0.500 0.000 Te
0.000 0.000 0.000 Te
0.000 0.500 0.500 Ru

=====

Entry 3:
TlTe3Ru (PBE-GGA, relaxed); offset from the most stable computed form = 0.00 eV/f.u.; space-group type = No. 221; raw formation energy = 1.326 eV per formula unit
1.0
5.327 0.000 0.000
0.000 5.327 0.000
0.000 0.000 5.327
Te Tl Ru
3 1 1
direct
0.000 0.000 0.500 Te
0.500 0.000 0.000 Te
0.000 0.500 0.000 Te
0.500 0.500 0.500 Tl
0.000 0.000 0.000 Ru

=====

Entry 4:
Tl2TeRu (PBE-GGA, relaxed); offset from the most stable computed form = 0.37 eV/f.u.; space-group type = No. 6; raw formation energy = 0.907 eV per formula unit
1.0
3.461 0.000 0.000
0.000 3.457 0.022
0.000 1.652 8.723
Te Tl Ru
1 2 1
direct
0.500 0.590 0.693 Te
0.000 0.927 0.025 Tl
0.500 0.284 0.306 Tl
0.000 0.699 0.476 Ru

=====

Entry 5:
TlTe2Ru (PBE-GGA, relaxed); offset from the most stable computed form = 0.37 eV/f.u.; space-group type = No. 44; raw formation energy = -0.033 eV per formula unit
1.0
10.018 0.175 0.002
8.816 4.760 -0.002
-9.473 -2.254 2.359
Te Tl Ru
2 1 1
direct
0.095 0.095 0.000 Te
0.767 0.267 0.500 Te
0.440 0.440 0.000 Tl
0.198 0.698 0.500 Ru

=====

Entry 6:
Tl2TeRu (PBE-GGA, relaxed); offset from the most stable computed form = 1.26 eV/f.u.; space-group type = No. 123; raw formation energy = 1.798 eV per formula unit
1.0
-2.089 0.178 2.499
2.074 -1.703 1.855
4.013 7.929 2.792
Ru Tl Te
1 2 1
direct
0.500 0.500 0.250 Ru
0.000 0.000 0.067 Tl
0.000 0.000 0.433 Tl
0.500 0.500 0.750 Te

=====

Entry 7:
Tl4TeRu (PBE-GGA, relaxed); space-group type = No. 216; raw formation energy = 4.430 eV per formula unit
1.0
0.000 4.431 4.431
4.431 0.000 4.431
4.431 4.431 0.000
Tl Ru Te
4 1 1
direct
0.375 0.375 0.375 Tl
0.375 0.874 0.375 Tl
0.375 0.375 0.874 Tl
0.874 0.375 0.375 Tl
0.750 0.750 0.750 Ru
0.000 0.000 0.000 Te

=====

Entry 8:
TlTe2Ru (PBE-GGA, relaxed); offset from the most stable computed form = 0.28 eV/f.u.; space-group type = No. 166; raw formation energy = -0.125 eV per formula unit
1.0
-0.173 0.783 9.971
-1.735 -2.666 9.485
2.062 -2.278 9.520
Te Tl Ru
2 1 1
direct
0.884 0.884 0.884 Te
0.116 0.116 0.116 Te
0.000 0.000 0.000 Tl
0.500 0.500 0.500 Ru